KTl2Mo | PBE | optimized geometry

Structure (POSCAR):
```
KTl2Mo
1.0
6.014 0.000 0.000
0.000 6.014 0.000
3.007 3.007 9.177
K Tl Mo
2 4 2
Direct
0.500 0.500 0.000
0.250 0.750 0.500
0.810 0.125 0.250
0.940 0.625 0.250
0.375 0.190 0.750
0.875 0.060 0.750
0.000 0.000 0.000
0.750 0.250 0.500
```

Properties
**Excess energy over the best structure of this formula in the dataset**: 388 meV per atom
**Total magnetic moment**: 2.6 μB per formula unit
**Symmetry**: No. 122
**Total DFT energy (no corrections)**: -3.26 eV/atom
**Formation energy from the elements**: 901 meV per atom